(1)
DFT (PBE) results for a geometry-optimized InCuSbI2 structure.

Calculated values
magnetic moment	0.33	μB/cell
distance to the lowest polymorph of the same formula	0.0	kJ/mol of atoms
ρ	5.63	g cm⁻³
calculated volume	32.68	Å³ per atom

Cell lengths 5.725, 5.725, 4.985 Å; angles 90.00, 90.00, 90.00 degrees
Space group P4/mmm (No. 123)
Symmetry-distinct sites (fractional):
1 In 0.000 0.000 0.000 (multiplicity 1)
2 Cu 0.500 0.500 0.500 (multiplicity 1)
3 Sb 0.500 0.500 0.000 (multiplicity 1)
4 I 0.000 0.500 0.500 (multiplicity 2)

(2)
DFT (PBE) results for a geometry-optimized TiSb structure.

Calculated values
magnetic moment	4.18	μB/cell
E	-5.9103	eV/atom
ρ	3.76	g cm⁻³
calculated volume	37.41	Å³ per atom

Cell lengths 8.428, 8.428, 8.428 Å; angles 90.00, 90.00, 90.00 degrees
Space group I-43m (No. 217)
Symmetry-distinct sites (fractional):
1 Ti 0.123 0.123 0.123 (multiplicity 8)
2 Sb 0.188 0.188 0.812 (multiplicity 8)

(3)
DFT (PBE) results for a geometry-optimized La5Ag structure.

Calculated values
magnetic moment	0.00	μB/cell
distance to the lowest polymorph of the same formula	37.4	kJ/mol of atoms
ρ	6.50	g cm⁻³
calculated volume	34.16	Å³ per atom
ΔE_f	309.7	meV per atom

Cell lengths 9.360, 9.360, 9.360 Å; angles 90.00, 90.00, 90.00 degrees
Space group F-43m (No. 216)
Symmetry-distinct sites (fractional):
1 La 0.000 0.000 0.000 (multiplicity 4)
2 La 0.125 0.125 0.375 (multiplicity 16)
3 Ag 0.250 0.250 0.750 (multiplicity 4)

(4)
DFT (PBE) results for a geometry-optimized MnIn3Rh structure.

Calculated values
magnetic moment	4.68	μB/cell
distance to the lowest polymorph of the same formula	0.0	kJ/mol of atoms
ρ	6.26	g cm⁻³
calculated volume	26.66	Å³ per atom
ΔE_f	310.5	meV per atom

Cell lengths 5.108, 5.108, 5.108 Å; angles 90.00, 90.00, 90.00 degrees
Space group Pm-3m (No. 221)
Symmetry-distinct sites (fractional):
1 Mn 0.000 0.000 0.000 (multiplicity 1)
2 In 0.000 0.500 0.500 (multiplicity 3)
3 Rh 0.500 0.500 0.500 (multiplicity 1)

(5)
DFT (PBE) results for a geometry-optimized Tm3InAg4S8 structure.

Calculated values
magnetic moment	0.00	μB/cell
E	-4.8487	eV/atom
ρ	5.22	g cm⁻³
calculated volume	26.03	Å³ per atom

Cell lengths 13.852, 7.985, 8.882 Å; angles 90.00, 122.00, 90.00 degrees
Space group C2/m (No. 12)
Symmetry-distinct sites (fractional):
1 Tm 0.000 0.000 0.000 (multiplicity 2)
2 Tm 0.250 0.250 0.000 (multiplicity 4)
3 In 0.000 0.500 0.000 (multiplicity 2)
4 Ag 0.000 0.000 0.500 (multiplicity 2)
5 Ag 0.000 0.500 0.500 (multiplicity 2)
6 Ag 0.250 0.250 0.500 (multiplicity 4)
7 S 0.101 0.500 0.814 (multiplicity 4)
8 S 0.103 0.000 0.814 (multiplicity 4)
9 S 0.146 0.254 0.186 (multiplicity 8)

(6)
DFT (PBE) results for a geometry-optimized RuRh2Au structure.

Calculated values
magnetic moment	0.00	μB/cell
distance to the lowest polymorph of the same formula	13.2	kJ/mol of atoms
ρ	13.91	g cm⁻³
calculated volume	15.03	Å³ per atom
ΔE_f	213.5	meV per atom

Cell lengths 9.150, 2.778, 4.807 Å; angles 90.00, 100.18, 90.00 degrees
Space group Cm (No. 8)
Symmetry-distinct sites (fractional):
1 Ru 0.000 0.000 0.000 (multiplicity 2)
2 Rh 0.240 0.500 0.217 (multiplicity 2)
3 Rh 0.488 0.000 0.470 (multiplicity 2)
4 Au 0.244 0.000 0.725 (multiplicity 2)

(7)
DFT (PBE) results for a geometry-optimized Rb4Cr3SnCl12 structure.

Calculated values
magnetic moment	24.00	μB/cell
E	-4.3199	eV/atom
ρ	3.15	g cm⁻³
calculated volume	27.45	Å³ per atom

Cell lengths 10.317, 10.317, 10.317 Å; angles 90.00, 90.00, 90.00 degrees
Space group Im-3m (No. 229)
Symmetry-distinct sites (fractional):
1 Rb 0.250 0.250 0.250 (multiplicity 8)
2 Cr 0.000 0.000 0.500 (multiplicity 6)
3 Sn 0.000 0.000 0.000 (multiplicity 2)
4 Cl 0.000 0.000 0.267 (multiplicity 12)
5 Cl 0.000 0.250 0.500 (multiplicity 12)

(8)
DFT (PBE) results for a geometry-optimized BeCr2Fe structure.

Calculated values
magnetic moment	3.70	μB/cell
ρ	6.60	g cm⁻³
calculated volume	10.62	Å³ per atom
ΔE_f	13.9	meV per atom

Cell lengths 2.908, 3.828, 7.633 Å; angles 90.00, 90.00, 90.00 degrees
Space group Cmm2 (No. 35)
Symmetry-distinct sites (fractional):
1 Be 0.000 0.000 0.000 (multiplicity 2)
2 Cr 0.000 0.000 0.509 (multiplicity 2)
3 Cr 0.000 0.500 0.242 (multiplicity 2)
4 Fe 0.000 0.500 0.771 (multiplicity 2)

(9)
DFT (PBE) results for a geometry-optimized PrYBe2Si2 structure.

Calculated values
magnetic moment	0.00	μB/cell
E	-5.5511	eV/atom
ρ	4.55	g cm⁻³
calculated volume	18.51	Å³ per atom

Cell lengths 3.9203, 3.9203, 8.3443 Å; angles 90.00, 90.00, 120.00 degrees
Space group P-3m1 (No. 164)
Symmetry-distinct sites (fractional):
1 Pr 0.0000 0.0000 0.0000 (multiplicity 1)
2 Y 0.0000 0.0000 0.5000 (multiplicity 1)
3 Be 0.3333 0.6667 0.7408 (multiplicity 2)
4 Si 0.3333 0.6667 0.2602 (multiplicity 2)

(10)
DFT (PBE) results for a geometry-optimized TaHg4W structure.

Calculated values
magnetic moment	0.00	μB/cell
ρ	16.16	g cm⁻³
calculated volume	19.99	Å³ per atom
ΔE_f	1023.8	meV per atom

Cell lengths 7.829, 7.829, 7.829 Å; angles 90.00, 90.00, 90.00 degrees
Space group F-43m (No. 216)
Symmetry-distinct sites (fractional):
1 Ta 0.000 0.000 0.000 (multiplicity 4)
2 Hg 0.125 0.125 0.375 (multiplicity 16)
3 W 0.250 0.250 0.750 (multiplicity 4)

(11)
DFT (PBE) results for a geometry-optimized TcSbAs structure.

Calculated values
magnetic moment	0.00	μB/cell
distance to the lowest polymorph of the same formula	37.8	kJ/mol of atoms
ρ	7.80	g cm⁻³
calculated volume	20.91	Å³ per atom

Cell lengths 3.308, 5.152, 14.721 Å; angles 90.00, 90.00, 90.00 degrees
Space group Fmm2 (No. 42)
Symmetry-distinct sites (fractional):
1 Tc 0.000 0.000 0.000 (multiplicity 4)
2 Sb 0.000 0.000 0.653 (multiplicity 4)
3 As 0.000 0.000 0.378 (multiplicity 4)

(12)
DFT (PBE) results for a geometry-optimized Li5Er3 structure.

Calculated values
magnetic moment	0.00	μB/cell
ρ	4.61	g cm⁻³
calculated volume	24.13	Å³ per atom
ΔE_f	47.4	meV per atom

Cell lengths 3.521, 3.521, 15.572 Å; angles 90.00, 90.00, 90.00 degrees
Space group P4/mmm (No. 123)
Symmetry-distinct sites (fractional):
1 Li 0.000 0.000 0.000 (multiplicity 1)
2 Li 0.000 0.000 0.206 (multiplicity 2)
3 Li 0.500 0.500 0.107 (multiplicity 2)
4 Er 0.000 0.000 0.500 (multiplicity 1)
5 Er 0.500 0.500 0.346 (multiplicity 2)